Compound: Th4CdHg7
Source: Alexandria via LeMat-Bulk
Functional: GGA-PBE
Structure: optimized geometry

As for the electronic total energy: -33.36 eV/f.u.

Unit cell a=15.3106 b=5.2572 c=9.9105 alpha=90.00 beta=121.77 gamma=90.00
Last column: nearest neighbours and their distance in Å.
Space group C2/m (No. 12)
Asymmetric unit:
Th 0.0638 0.0000 0.2545 x4  8 Hg 3.06-3.39
Th 0.2296 0.0000 0.7741 x4  6 Hg 3.11-3.35
Cd 0.0000 0.5000 0.5000 x2  2 Hg 2.63
Hg 0.0000 0.0000 0.5000 x2  2 Cd 2.63
Hg 0.0990 0.5000 0.8509 x4  1 Cd 2.97, 3 Hg 3.10-3.23, 1 Th 3.23
Hg 0.1625 0.0000 0.0461 x4  3 Hg 3.10-3.23, 5 Th 3.12-3.35
Hg 0.1846 0.5000 0.4652 x4  1 Cd 3.02, 2 Hg 3.15, 4 Th 3.26-3.36